(1)
An optimized crystal structure of MgCd2Te3, computed with GGA-PBE.

Cell: 4.1318 14.2338 11.6992 Å, 90.00 90.00 90.00°
Closest atoms and distances in Å follow each position.
Space group Cmcm (No. 63)
Inequivalent atoms, fractional coordinates:
Mg (0.0000, 0.2185, 0.2500) x4  6 Te 3.08-3.13
Cd (0.0000, 0.0000, 0.0000) x4  6 Te 3.05-3.39
Cd (0.0000, 0.4845, 0.7500) x4  4 Te 2.82-2.84
Te (0.0000, 0.1211, 0.7500) x4  2 Cd 2.84, 2 Mg 3.08
Te (0.0000, 0.3531, 0.5693) x8  3 Cd 2.82-3.05, 2 Mg 3.13

Computed properties:
Final energy ... -58.83 eV/cell



(2)
An optimized crystal structure of Li2Hf, computed with GGA-PBE.

Cell: 4.6195 14.6701 3.1424 Å, 90.00 90.00 90.00°
Closest atoms and distances in Å follow each position.
Space group Cmcm (No. 63)
Inequivalent atoms, fractional coordinates:
Li (0.0000, 0.0697, 0.2500) x4  4 Li 2.58-2.84, 4 Hf 2.80
Li (0.0000, 0.2312, 0.7500) x4  8 Li 2.84-3.14, 4 Hf 3.16-3.18
Hf (0.0000, 0.4181, 0.2500) x4  4 Li 2.80, 2 Hf 2.87

Computed properties:
Final energy ... -51.00 eV/cell



(3)
An optimized crystal structure of ScZnCuSe3, computed with GGA-PBE.

Cell: 3.6944 12.5872 10.2772 Å, 90.00 90.00 90.00°
Closest atoms and distances in Å follow each position.
Space group Cmcm (No. 63)
Inequivalent atoms, fractional coordinates:
Sc (0.0000, 0.0000, 0.0000) x4  6 Se 2.70-2.91
Zn (0.0000, 0.2311, 0.2500) x4  6 Se 2.73-2.82
Cu (0.0000, 0.4782, 0.7500) x4  4 Se 2.40-2.47
Se (0.0000, 0.1089, 0.7500) x4  2 Cu 2.47, 2 Zn 2.73
Se (0.0000, 0.3553, 0.5717) x8  1 Cu 2.40

Computed properties:
Final energy ... -105.33 eV/cell



(4)
An optimized crystal structure of TbZrAl, computed with GGA-PBE.

Cell: 6.9178 6.9178 6.9178 Å, 90.00 90.00 90.00°
Closest atoms and distances in Å follow each position.
Space group F-43m (No. 216)
Inequivalent atoms, fractional coordinates:
Tb (0.0000, 0.0000, 0.0000) x4  4 Zr 3.00
Zr (0.2500, 0.2500, 0.7500) x4  4 Tb 3.00, 4 Al 3.00
Al (0.0000, 0.0000, 0.5000) x4  4 Zr 3.00

Computed properties:
Final energy ... -60.48 eV/cell



(5)
An optimized crystal structure of GdAgSeS, computed with GGA-PBE.

Cell: 9.2323 9.7501 4.2502 Å, 90.00 90.00 90.00°
Closest atoms and distances in Å follow each position.
Space group Cmm2 (No. 35)
Inequivalent atoms, fractional coordinates:
Gd (0.0000, 0.0000, 0.0000) x2  2 S 2.78, 4 Se 2.88-2.94
Gd (0.0000, 0.5000, 0.4262) x2  4 S 2.77-2.85, 2 Se 2.90
Ag (0.2500, 0.2500, 0.1703) x4  2 S 2.67, 2 Se 2.71
Se (0.0000, 0.2039, 0.4896) x4  2 Ag 2.71, 3 Gd 2.88-2.94
S (0.1997, 0.5000, 0.9389) x4  2 Ag 2.67, 3 Gd 2.77-2.85

Computed properties:
Final energy ... -80.81 eV/cell



(6)
An optimized crystal structure of Y4ZnCdN2, computed with GGA-PBE.

Cell: 3.5091 3.5091 15.3372 Å, 90.00 90.00 120.00°
Closest atoms and distances in Å follow each position.
Space group P-6m2 (No. 187)
Inequivalent atoms, fractional coordinates:
Y (0.0000, 0.0000, 0.1512) x2  3 N 2.47
Y (0.3333, 0.6667, 0.3278) x2  3 N 2.41
Zn (0.3333, 0.6667, 0.0000) x1  6 Y 3.08
Cd (0.0000, 0.0000, 0.5000) x1  6 Y 3.33, 6 Cd 3.51
N (0.6667, 0.3333, 0.2433) x2  6 Y 2.41-2.47

Computed properties:
Final energy ... -51.77 eV/cell



(7)
An optimized crystal structure of ZrTlAgTe2Se, computed with GGA-PBE.

Cell: 8.4648 4.1049 10.7611 Å, 90.00 109.44 90.00°
Closest atoms and distances in Å follow each position.
Space group P2_1/m (No. 11)
Inequivalent atoms, fractional coordinates:
Zr (0.2109, 0.2500, 0.1699) x2  2 Se 2.72, 4 Te 2.86-3.01
Tl (0.2470, 0.7500, 0.7139) x2  5 Te 3.39-3.72, 2 Se 3.48
Ag (0.4295, 0.7500, 0.3961) x2  1 Se 2.65, 3 Te 2.86-2.93
Te (0.0623, 0.2500, 0.8762) x2  3 Zr 2.99-3.01
Te (0.2174, 0.2500, 0.4375) x2  3 Ag 2.86-2.93, 1 Zr 2.86
Se (0.4085, 0.7500, 0.1450) x2  1 Ag 2.65, 2 Zr 2.72

Computed properties:
Final energy ... -54.81 eV/cell



(8)
An optimized crystal structure of GdInFeS3, computed with GGA-PBE.

Cell: 3.9555 14.1881 10.4803 Å, 90.00 90.00 90.00°
Closest atoms and distances in Å follow each position.
Space group Cmcm (No. 63)
Inequivalent atoms, fractional coordinates:
Gd (0.0000, 0.0000, 0.0000) x4  6 S 2.76-2.77
In (0.0000, 0.2475, 0.2500) x4  6 S 3.21-3.33
Fe (0.0000, 0.4727, 0.7500) x4  4 S 2.29-2.36
S (0.0000, 0.0635, 0.7500) x4  2 Fe 2.36
S (0.0000, 0.3757, 0.5752) x8  1 Fe 2.29

Computed properties:
Final energy ... -135.97 eV/cell



(9)
An optimized crystal structure of ZrCuSi2Ni, computed with GGA-PBE.

Cell: 3.7506 3.7506 10.0096 Å, 90.00 90.00 90.00°
Closest atoms and distances in Å follow each position.
Space group I-4m2 (No. 119)
Inequivalent atoms, fractional coordinates:
Zr (0.0000, 0.0000, 0.0000) x2  8 Si 2.89, 4 Ni 3.13, 4 Cu 3.13
Cu (0.0000, 0.5000, 0.7500) x2  4 Si 2.31
Si (0.0000, 0.0000, 0.3844) x4  2 Ni 2.31, 2 Cu 2.31, 1 Si 2.31
Ni (0.0000, 0.5000, 0.2500) x2  4 Si 2.31

Computed properties:
Final energy ... -64.06 eV/cell



(10)
An optimized crystal structure of Nd3Cd3PtAu2, computed with GGA-PBE.

Cell: 7.8605 7.8605 4.0635 Å, 90.00 90.00 120.00°
Closest atoms and distances in Å follow each position.
Space group P-62m (No. 189)
Inequivalent atoms, fractional coordinates:
Nd (0.0000, 0.6040, 0.0000) x3  1 Pt 3.11, 4 Au 3.15, 6 Cd 3.40-3.43
Cd (0.0000, 0.2517, 0.5000) x3  2 Pt 2.84, 2 Au 2.99
Pt (0.0000, 0.0000, 0.0000) x1  6 Cd 2.84, 3 Nd 3.11
Au (0.3333, 0.6667, 0.5000) x2  3 Cd 2.99, 6 Nd 3.15

Computed properties:
Formation energy ... -0.703 eV per atom
Final energy ... -35.89 eV/cell



(11)
An optimized crystal structure of CdTcAu2, computed with GGA-PBE.

Cell: 6.5980 6.5980 6.5980 Å, 90.00 90.00 90.00°
Closest atoms and distances in Å follow each position.
Space group F-43m (No. 216)
Inequivalent atoms, fractional coordinates:
Cd (0.0000, 0.0000, 0.0000) x4  4 Tc 2.86, 4 Au 2.86
Tc (0.2500, 0.2500, 0.7500) x4  4 Cd 2.86, 4 Au 2.86
Au (0.0000, 0.0000, 0.5000) x4  4 Tc 2.86, 4 Au 2.86
Au (0.2500, 0.2500, 0.2500) x4  4 Cd 2.86, 4 Au 2.86

Computed properties:
Formation energy ... 0.355 eV per atom
Final energy ... -65.48 eV/cell



(12)
An optimized crystal structure of LaGdNb, computed with GGA-PBE.

Cell: 7.2133 7.2133 7.2133 Å, 90.00 90.00 90.00°
Closest atoms and distances in Å follow each position.
Space group F-43m (No. 216)
Inequivalent atoms, fractional coordinates:
La (0.0000, 0.0000, 0.0000) x4  4 Nb 3.12
Gd (0.0000, 0.0000, 0.5000) x4  4 Nb 3.12
Nb (0.2500, 0.2500, 0.7500) x4  4 Gd 3.12, 4 La 3.12

Computed properties:
Formation energy ... 0.754 eV per atom
Final energy ... -69.63 eV/cell